1.
A plane-wave DFT calculation with PBE was carried out for a relaxed NaLaY2Ru crystal.

Summary:
VASP energy, eV per atom: -5.76
Magnetic moment, μB/f.u.: 0.0

Lattice parameters (Å, degrees): 5.507 5.507 5.499 90.00 90.00 90.00
Positions (direct):
Y (0.000, 0.500, 0.000)
Y (0.500, 0.000, 0.000)
Ru (0.000, 0.000, 0.000)
Na (0.500, 0.500, 0.500)
La (0.000, 0.000, 0.500)

***

2.
A plane-wave DFT calculation with PBE was carried out for a relaxed LiTc2Au crystal.

Summary:
ΔE to the lowest computed polymorph, meV per atom: 0
VASP energy, eV per atom: -6.44
Magnetic moment, μB/f.u.: 0.0

Lattice parameters (Å, degrees): 3.031 3.031 6.436 90.00 90.00 90.00
Positions (direct):
Au (0.000, 0.000, 0.535)
Li (0.500, 0.500, 0.750)
Tc (0.000, 0.000, 0.003)
Tc (0.500, 0.500, 0.212)

***

3.
A plane-wave DFT calculation with PBE was carried out for a relaxed TiSn crystal.

Summary:
VASP energy, eV per atom: -5.34
Magnetic moment, μB/f.u.: 0.5

Lattice parameters (Å, degrees): 8.462 8.462 8.462 90.00 90.00 90.00
Each line ends with the local moment (μB).
Positions (direct):
Ti (0.115, 0.115, 0.115)  0.48
Ti (0.115, 0.885, 0.885)  0.48
Ti (0.885, 0.115, 0.885)  0.48
Ti (0.885, 0.885, 0.115)  0.48
Ti (0.615, 0.615, 0.615)  0.48
Ti (0.615, 0.385, 0.385)  0.48
Ti (0.385, 0.615, 0.385)  0.48
Ti (0.385, 0.385, 0.615)  0.48
Sn (0.302, 0.302, 0.302)  -0.03
Sn (0.302, 0.698, 0.698)  -0.03
Sn (0.698, 0.302, 0.698)  -0.03
Sn (0.698, 0.698, 0.302)  -0.03
Sn (0.802, 0.802, 0.802)  -0.03
Sn (0.802, 0.198, 0.198)  -0.03
Sn (0.198, 0.802, 0.198)  -0.03
Sn (0.198, 0.198, 0.802)  -0.03

***

4.
A plane-wave DFT calculation with PBE was carried out for a relaxed Pm5Cd2Ag12 crystal.

Summary:
VASP energy, eV per atom: -3.32
Magnetic moment, μB/f.u.: 0.0

Lattice parameters (Å, degrees): 7.233 7.551 8.791 64.56 88.26 90.00
Positions (direct):
Pm (0.561, 0.754, 0.491)
Pm (0.038, 0.695, 0.610)
Pm (0.500, 0.000, 0.000)
Pm (0.962, 0.305, 0.390)
Pm (0.439, 0.246, 0.509)
Cd (0.000, 0.717, 0.000)
Cd (0.000, 0.283, 0.000)
Ag (0.099, 0.115, 0.769)
Ag (0.751, 0.335, 0.707)
Ag (0.751, 0.958, 0.707)
Ag (0.350, 0.410, 0.786)
Ag (0.350, 0.803, 0.786)
Ag (0.677, 0.552, 0.896)
Ag (0.323, 0.448, 0.104)
Ag (0.650, 0.590, 0.214)
Ag (0.650, 0.197, 0.214)
Ag (0.249, 0.665, 0.293)
Ag (0.249, 0.042, 0.293)
Ag (0.901, 0.885, 0.231)